Entry 1:
VASP calculation (GGA-PBE) on crystalline LaBCl2 at its relaxed geometry.

Unit cell a=6.999 b=6.999 c=6.999 alpha=90.00 beta=90.00 gamma=90.00
Space group Fm-3m (No. 225)
One atom of each set of equivalent atoms:
La (0.000, 0.000, 0.000) (multiplicity 4)
B (0.000, 0.000, 0.500) (multiplicity 4)
Cl (0.250, 0.250, 0.250) (multiplicity 8)

Summary:
Energy above the lowest structure with this stoichiometry ... 9 kJ/mol of formula units
Total magnetization ... 1.99 μB per formula unit

Entry 2:
VASP calculation (GGA-PBE) on crystalline LaB2ClO4 at its relaxed geometry.

Unit cell a=4.272 b=6.662 c=8.269 alpha=82.13 beta=89.49 gamma=72.40
Space group P-1 (No. 2)
One atom of each set of equivalent atoms:
La (0.204, 0.037, 0.222) (multiplicity 2)
B (0.167, 0.347, 0.851) (multiplicity 2)
B (0.435, 0.441, 0.194) (multiplicity 2)
Cl (0.151, 0.197, 0.545) (multiplicity 2)
O (0.098, 0.468, 0.180) (multiplicity 2)
O (0.160, 0.154, 0.921) (multiplicity 2)
O (0.370, 0.760, 0.791) (multiplicity 2)
O (0.478, 0.372, 0.817) (multiplicity 2)

Summary:
DFT total energy ... -123.42 eV for the cell shown
Total magnetization ... 0.00 μB per formula unit

Entry 3:
VASP calculation (GGA-PBE) on crystalline LaB4ClO8 at its relaxed geometry.

Unit cell a=6.639 b=11.425 c=9.907 alpha=90.00 beta=106.67 gamma=90.00
Space group Cc (No. 9)
One atom of each set of equivalent atoms:
La (0.000, 0.204, 0.000) (multiplicity 4)
B (0.147, 0.098, 0.378) (multiplicity 4)
B (0.311, 0.444, 0.921) (multiplicity 4)
B (0.401, 0.245, 0.858) (multiplicity 4)
B (0.465, 0.032, 0.930) (multiplicity 4)
Cl (0.351, 0.320, 0.195) (multiplicity 4)
O (0.011, 0.017, 0.431) (multiplicity 4)
O (0.083, 0.097, 0.223) (multiplicity 4)
O (0.119, 0.218, 0.424) (multiplicity 4)
O (0.180, 0.466, 0.443) (multiplicity 4)
O (0.247, 0.332, 0.883) (multiplicity 4)
O (0.350, 0.133, 0.912) (multiplicity 4)
O (0.371, 0.074, 0.437) (multiplicity 4)
O (0.388, 0.240, 0.708) (multiplicity 4)

Summary:
DFT total energy ... -419.91 eV for the cell shown
Total magnetization ... 2.00 μB per formula unit

Entry 4:
VASP calculation (GGA-PBE) on crystalline LaBP2Cl at its relaxed geometry.

Unit cell a=4.095 b=4.095 c=5.618 alpha=90.00 beta=90.00 gamma=90.00
Space group P4/mmm (No. 123)
One atom of each set of equivalent atoms:
La (0.000, 0.000, 0.000) (multiplicity 1)
B (0.000, 0.000, 0.500) (multiplicity 1)
P (0.000, 0.500, 0.500) (multiplicity 2)
Cl (0.500, 0.500, 0.000) (multiplicity 1)

Summary:
Energy above the lowest structure with this stoichiometry ... 0 kJ/mol of formula units
Total magnetization ... 0.00 μB per formula unit

Entry 5:
VASP calculation (GGA-PBE) on crystalline LaBP2Cl at its relaxed geometry.

Unit cell a=5.558 b=5.558 c=5.423 alpha=90.00 beta=90.00 gamma=90.00
Space group P4/mmm (No. 123)
One atom of each set of equivalent atoms:
La (0.000, 0.000, 0.000) (multiplicity 1)
B (0.000, 0.000, 0.500) (multiplicity 1)
P (0.000, 0.500, 0.000) (multiplicity 2)
Cl (0.500, 0.500, 0.500) (multiplicity 1)

Summary:
Energy above the lowest structure with this stoichiometry ... 868 kJ/mol of formula units
Total magnetization ... 1.51 μB per formula unit

Entry 6:
VASP calculation (GGA-PBE) on crystalline LaBP2Cl at its relaxed geometry.

Unit cell a=5.674 b=5.674 c=5.469 alpha=90.00 beta=90.00 gamma=90.00
Space group P4/mmm (No. 123)
One atom of each set of equivalent atoms:
La (0.000, 0.000, 0.000) (multiplicity 1)
B (0.500, 0.500, 0.500) (multiplicity 1)
P (0.000, 0.500, 0.000) (multiplicity 2)
Cl (0.000, 0.000, 0.500) (multiplicity 1)

Summary:
Energy above the lowest structure with this stoichiometry ... 688 kJ/mol of formula units
Total magnetization ... 1.46 μB per formula unit

Among the records above, which one has the highest total magnetization?
LaB4ClO8

The highest total magnetization belongs to which entry?
LaB4ClO8